## RbNpMoO6 (PBE with a Hubbard U)

Data for an optimized crystal structure of RbNpMoO6.

Unit cell a=7.3879 b=7.8373 c=7.6293 alpha=120.91 beta=118.96 gamma=90.00
Last column: nearest neighbours and their distance in Å.
Fractional coordinates of all 18 atoms:
Rb (0.8709, 0.6209, 0.7418)  6 O 3.21-3.52
Rb (0.1291, 0.3791, 0.2582)  6 O 3.21-3.52
Np (0.5000, 0.5000, 0.0000)  6 O 2.05-2.11
Np (0.5000, 0.0000, 0.0000)  6 O 2.05-2.11
Mo (0.5000, 0.0000, 0.5000)  6 O 1.94-2.01
Mo (0.0000, 0.0000, 0.5000)  6 O 1.94-2.01
O (0.4265, 0.6765, 0.8529)  2 Np 2.11
O (0.8036, 0.0536, 0.6073)  2 Mo 1.94
O (0.8219, 0.0603, 0.2517)  1 Mo 2.01, 1 Np 2.05
O (0.4298, 0.6914, 0.2517)  1 Mo 2.01, 1 Np 2.05
O (0.4298, 0.0603, 0.2517)  1 Mo 2.01, 1 Np 2.05
O (0.8219, 0.6914, 0.2517)  1 Mo 2.01, 1 Np 2.05
O (0.5735, 0.3235, 0.1471)  2 Np 2.11
O (0.1964, 0.9464, 0.3927)  2 Mo 1.94
O (0.1781, 0.9397, 0.7483)  1 Mo 2.01, 1 Np 2.05
O (0.5702, 0.3086, 0.7483)  1 Mo 2.01, 1 Np 2.05
O (0.5702, 0.9397, 0.7483)  1 Mo 2.01, 1 Np 2.05
O (0.1781, 0.3086, 0.7483)  1 Mo 2.01, 1 Np 2.05

total energy	-7.864	eV per atom
N(E_F)	6.23	states/eV/cell
M_tot	4.0	Bohr magnetons per cell